w | PBE KSc3Ir, relaxed; ρ = 6.05 g/cm³; density of states at the Fermi level = 3.78 states/eV/cell; magnetic moment = 0.0 μB/f.u.
1.0
-3.113 0.114 3.451
-1.681 -4.108 -1.380
3.016 -2.172 2.792
K Sc Ir
1 3 1
direct
0.000 0.000 0.000
0.000 0.500 0.000
0.000 0.000 0.500
0.500 0.000 0.000
0.500 0.500 0.500

=====

x | PBE KSc3Ir, relaxed; ρ = 4.29 g/cm³; density of states at the Fermi level = 7.34 states/eV/cell; magnetic moment = 0.0 μB/f.u.
1.0
-3.071 3.772 -1.873
0.029 -2.299 -4.678
-4.212 -2.767 1.334
Sc K Ir
3 1 1
direct
0.000 0.000 0.500
0.500 0.000 0.000
0.000 0.500 0.000
0.500 0.500 0.500
0.000 0.000 0.000

=====

x wins, 1.592 eV/atom ahead of the next structure.